Entry 1:
The following is a GGA-PBE calculation of an optimized crystal structure of ZnCd2Cu, from the Alexandria database.

```
4
Lattice="-2.0744 2.0744 4.0835 2.0744 -2.0744 4.0835 2.0744 2.0744 -4.0835" Properties=species:S:1:pos:R:3 pbc="T T T"
Zn 0.0000 0.0000 0.0000
Cd 2.0744 0.0000 2.0418
Cd 0.0000 0.0000 4.0835
Cu 0.0000 2.0744 2.0418
```

As for the energy of formation from the pure elements: 0.102 eV/atom. The calculation puts the density of states at the Fermi level at 1.2 states/eV per cell. As for the space group: No. 119. The value obtained for the total energy is -1.698 eV/atom.


Entry 2:
The following is a GGA-PBE calculation of an optimized crystal structure of V12Si6Os, from the Alexandria database.

```
19
Lattice="5.7720 3.3325 2.1710 -5.7720 3.3325 2.1710 0.0000 -6.6650 2.1710" Properties=species:S:1:pos:R:3 pbc="T T T"
V -1.5666 -0.0733 1.0452
V 0.8468 -1.3201 1.0452
V -2.1587 -1.7458 3.3330
V 0.7198 1.3934 1.0452
V -2.5913 0.9966 3.1800
V 0.4326 -2.7424 3.1800
V -0.4326 2.7424 3.3330
V 2.5913 -0.9966 3.3330
V -0.7198 -1.3934 5.4678
V 2.1587 1.7459 3.1800
V -0.8468 1.3201 5.4678
V 1.5666 0.0733 5.4678
Si -4.5042 -0.6498 3.2218
Si -1.6894 -4.2257 3.2911
Si -2.8149 3.5759 3.2911
Si 2.8149 -3.5759 3.2218
Si 1.6894 4.2257 3.2218
Si 4.5043 0.6498 3.2911
Os 0.0000 0.0000 3.2565
```

The calculation puts the density of states at the Fermi level at 13.6 states/eV per cell. The formation energy from raw total energies is -6.184 eV per formula unit. As for the space group: No. 148. The value obtained for the total energy is -8.388 eV/atom.


Entry 3:
The following is a GGA-PBE calculation of an optimized crystal structure of Na2AlW, from the Alexandria database.

```
8
Lattice="-4.1770 4.1770 2.6616 4.1770 -4.1770 2.6616 4.1770 4.1770 -2.6616" Properties=species:S:1:pos:R:3 pbc="T T T"
Na 6.2655 1.9599 -0.6654
Na 1.9599 2.0885 0.6654
Na -2.0885 2.2172 1.9962
Na 2.2172 2.0885 3.3270
Al 0.0000 0.0000 0.0000
Al 0.0000 4.1770 1.3308
W 4.1770 0.0000 1.3308
W 0.0000 0.0000 2.6616
```

As for the energy of formation from the pure elements: 1.331 eV/atom. The calculation puts the density of states at the Fermi level at 5.0 states/eV per cell. As for the space group: No. 122. The value obtained for the total energy is -3.503 eV/atom.


Entry 4:
The following is a GGA-PBE calculation of an optimized crystal structure of RbAgF4, from the Alexandria database.

```
12
Lattice="6.3488 0.0000 0.0000 0.0000 5.0372 0.0000 -2.6133 0.0000 7.2188" Properties=species:S:1:pos:R:3 pbc="T T T"
Rb 0.0000 0.0000 0.0000
Rb -1.3066 2.5186 3.6094
Ag 1.8677 0.0000 3.6094
Ag 3.1744 2.5186 0.0000
F 0.0476 0.0427 2.8610
F -1.2591 2.4759 6.4704
F 1.3746 3.4857 4.7035
F 2.6812 4.0701 1.0941
F 1.0542 0.9671 6.1247
F 2.3609 1.5515 2.5153
F 4.9946 2.5613 0.7484
F 3.6879 4.9945 4.3578
```

The formation energy from raw total energies is -10.381 eV per formula unit. As for the space group: No. 14. The value obtained for the total energy is -3.614 eV/atom.


Entry 5:
The following is a GGA-PBE calculation of an optimized crystal structure of BaNaHg2Pt, from the Alexandria database.

```
5
Lattice="6.4913 0.0000 0.0000 0.0000 6.4913 0.0000 0.0000 0.0000 5.6757" Properties=species:S:1:pos:R:3 pbc="T T T"
Ba 0.0000 0.0000 0.0000
Na 3.2457 3.2457 2.8379
Hg 0.0000 3.2457 0.0000
Hg 3.2457 0.0000 0.0000
Pt 0.0000 0.0000 2.8379
```

As for the energy of formation from the pure elements: 0.253 eV/atom. The calculation puts the density of states at the Fermi level at 2.9 states/eV per cell. For the energy relative to the lowest polymorph listed for this composition, the calculation gives 3.49 eV per formula unit. As for the space group: No. 123. The value obtained for the total energy is -1.725 eV/atom.


Entry 6:
The following is a GGA-PBE calculation of an optimized crystal structure of As5W3, from the Alexandria database.

```
8
Lattice="3.1781 -4.6495 0.0000 3.1781 4.6495 0.0000 0.0000 0.0000 4.4629" Properties=species:S:1:pos:R:3 pbc="T T T"
As 0.0000 0.0000 0.0000
As 1.5890 2.3248 0.0000
As 1.6954 0.0000 2.2314
As 1.5890 -2.3248 0.0000
As 4.6607 0.0000 2.2314
W 3.1781 2.1309 2.2314
W 3.1781 0.0000 0.0000
W 3.1781 -2.1309 2.2314
```

As for the energy of formation from the pure elements: 0.451 eV/atom. The calculation puts the density of states at the Fermi level at 4.5 states/eV per cell. For the energy relative to the lowest polymorph listed for this composition, the calculation gives 1.14 eV per formula unit. As for the space group: No. 65. The value obtained for the total energy is -7.313 eV/atom.


Entry 7:
The following is a GGA-PBE calculation of an optimized crystal structure of Sc2SbAs2, from the Alexandria database.

```
5
Lattice="-1.9187 1.9187 7.3222 1.9187 -1.9187 7.3222 1.9187 1.9187 -7.3222" Properties=species:S:1:pos:R:3 pbc="T T T"
Sc 0.0000 0.0000 1.6091
Sc 0.0000 0.0000 13.0354
Sb 0.0000 0.0000 7.3222
As 1.9187 0.0000 3.6611
As 0.0000 1.9187 3.6611
```

The calculation puts the density of states at the Fermi level at 2.3 states/eV per cell. For the energy relative to the lowest polymorph listed for this composition, the calculation gives 0.00 eV per formula unit. The formation energy from raw total energies is -4.128 eV per formula unit. As for the space group: No. 139. The value obtained for the total energy is -6.043 eV/atom.


Entry 8:
The following is a GGA-PBE calculation of an optimized crystal structure of BaAcDy, from the Alexandria database.

```
6
Lattice="4.2422 0.0000 0.0000 0.0000 4.2422 0.0000 0.0000 0.0000 15.3533" Properties=species:S:1:pos:R:3 pbc="T T T"
Ba 1.0606 1.0606 1.7216
Ba 3.1817 3.1817 13.6317
Ac 1.0606 1.0606 10.6534
Ac 3.1817 3.1817 4.6999
Dy 1.0606 1.0606 6.8557
Dy 3.1817 3.1817 8.4976
```

As for the energy of formation from the pure elements: 0.071 eV/atom. The calculation puts the density of states at the Fermi level at 8.5 states/eV per cell. For the energy relative to the lowest polymorph listed for this composition, the calculation gives 0.00 eV per formula unit. As for the space group: No. 129. The value obtained for the total energy is -3.474 eV/atom.


Please write out number 4 again, unchanged.
The following is a GGA-PBE calculation of an optimized crystal structure of RbAgF4, from the Alexandria database.

```
12
Lattice="6.3488 0.0000 0.0000 0.0000 5.0372 0.0000 -2.6133 0.0000 7.2188" Properties=species:S:1:pos:R:3 pbc="T T T"
Rb 0.0000 0.0000 0.0000
Rb -1.3066 2.5186 3.6094
Ag 1.8677 0.0000 3.6094
Ag 3.1744 2.5186 0.0000
F 0.0476 0.0427 2.8610
F -1.2591 2.4759 6.4704
F 1.3746 3.4857 4.7035
F 2.6812 4.0701 1.0941
F 1.0542 0.9671 6.1247
F 2.3609 1.5515 2.5153
F 4.9946 2.5613 0.7484
F 3.6879 4.9945 4.3578
```

The formation energy from raw total energies is -10.381 eV per formula unit. As for the space group: No. 14. The value obtained for the total energy is -3.614 eV/atom.